The following is a DFT calculation (PBE-GGA) of a relaxed structure of Ni6PPt.

Structure (extended XYZ):
```
8
Lattice="-0.565 2.484 -3.839 -1.814 -3.335 -2.610 -4.432 1.086 0.637" Properties=species:S:1:pos:R:3 pbc="T T T"
Ni -4.257 -0.897 -1.044
Ni -2.554 1.132 -4.767
Ni -2.838 2.306 -2.578
Ni -3.973 -2.071 -3.234
Ni -1.783 -1.103 -3.953
Ni -5.029 1.338 -1.859
P -3.406 0.117 -2.906
Pt 0.000 0.000 0.000
```

Computed properties:
As for the space group: R-3 (148). The value obtained for the final energy is -5.806 eV per atom. Its formation energy is -0.04 eV/atom.